1.
A plane-wave DFT calculation with GGA-PBE was carried out for an optimized crystal structure of BaLiTc2.

```
data_BaLiTc2
_chemical_formula_sum 'Ba3 Li3 Tc6'
_space_group_name_H-M_alt 'R -3 m'
_space_group_IT_number 166
_space_group_name_Hall '-R 3 2"'
_cell_length_a 2.9278
_cell_length_b 2.9278
_cell_length_c 31.8018
_cell_angle_alpha 90.00
_cell_angle_beta 90.00
_cell_angle_gamma 120.00
loop_
_atom_site_label
_atom_site_type_symbol
_atom_site_fract_x
_atom_site_fract_y
_atom_site_fract_z
Ba1 Ba 0.0000 0.0000 0.0000
Li1 Li 0.0000 0.0000 0.5000
Tc1 Tc 0.0000 0.0000 0.2395
```

Output
- Formation energy: 1.245 eV/atom
- Fermi-level density of states: 15.0 states/eV/cell

---

2.
A plane-wave DFT calculation with GGA-PBE was carried out for an optimized crystal structure of MgGaAs2.

```
data_MgGaAs2
_chemical_formula_sum 'Mg3 Ga3 As6'
_space_group_name_H-M_alt 'R -3 m'
_space_group_IT_number 166
_space_group_name_Hall '-R 3 2"'
_cell_length_a 3.7492
_cell_length_b 3.7492
_cell_length_c 24.1128
_cell_angle_alpha 90.00
_cell_angle_beta 90.00
_cell_angle_gamma 120.00
loop_
_atom_site_label
_atom_site_type_symbol
_atom_site_fract_x
_atom_site_fract_y
_atom_site_fract_z
Mg1 Mg 0.0000 0.0000 0.0000
Ga1 Ga 0.0000 0.0000 0.5000
As1 As 0.0000 0.0000 0.1065
```

Output
- Formation energy: 0.121 eV/atom
- Fermi-level density of states: 7.2 states/eV/cell

---

3.
A plane-wave DFT calculation with GGA-PBE was carried out for an optimized crystal structure of LaTeCl.

```
data_LaTeCl
_chemical_formula_sum 'La4 Te4 Cl4'
_space_group_name_H-M_alt 'P n m a'
_space_group_IT_number 62
_cell_length_a 8.017
_cell_length_b 4.534
_cell_length_c 9.477
_cell_angle_alpha 90.00
_cell_angle_beta 90.00
_cell_angle_gamma 90.00
loop_
_space_group_symop_operation_xyz
'x,y,z'
'-x,-y,-z'
'-x+1/2,-y,z+1/2'
'x+1/2,y,-z+1/2'
'x+1/2,-y+1/2,-z+1/2'
'-x+1/2,y+1/2,z+1/2'
'-x,y+1/2,-z'
'x,-y+1/2,z'
loop_
_atom_site_label
_atom_site_type_symbol
_atom_site_fract_x
_atom_site_fract_y
_atom_site_fract_z
La1 La 0.237 0.250 0.132
Te1 Te 0.038 0.750 0.332
Cl1 Cl 0.136 0.750 0.941
```

Output
- Raw formation energy: -5.92 eV/f.u.

---

4.
A plane-wave DFT calculation with GGA-PBE was carried out for an optimized crystal structure of CrSbRhI2.

```
data_CrSbRhI2
_chemical_formula_sum 'Cr1 Sb1 Rh1 I2'
_space_group_name_H-M_alt 'P 4/m m m'
_space_group_IT_number 123
_space_group_name_Hall '-P 4 2'
_cell_length_a 5.607
_cell_length_b 5.607
_cell_length_c 4.972
_cell_angle_alpha 90.00
_cell_angle_beta 90.00
_cell_angle_gamma 90.00
loop_
_atom_site_label
_atom_site_type_symbol
_atom_site_fract_x
_atom_site_fract_y
_atom_site_fract_z
Cr1 Cr 0.000 0.000 0.000
Sb1 Sb 0.500 0.500 0.000
Rh1 Rh 0.500 0.500 0.500
I1 I 0.000 0.500 0.500
```

Output
- Fermi-level density of states: 2.5 states/eV/cell
- Raw formation energy: 2.84 eV/f.u.

---

5.
A plane-wave DFT calculation with GGA-PBE was carried out for an optimized crystal structure of Li8CdHg2.

```
data_Li8CdHg2
_chemical_formula_sum 'Li16 Cd2 Hg4'
_space_group_name_H-M_alt 'C 1 2/m 1'
_space_group_IT_number 12
_cell_length_a 7.584
_cell_length_b 13.034
_cell_length_c 4.870
_cell_angle_alpha 90.00
_cell_angle_beta 119.17
_cell_angle_gamma 90.00
loop_
_space_group_symop_operation_xyz
'x,y,z'
'-x,-y,-z'
'-x,y,-z'
'x,-y,z'
'x+1/2,y+1/2,z'
'-x+1/2,-y+1/2,-z'
'-x+1/2,y+1/2,-z'
'x+1/2,-y+1/2,z'
loop_
_atom_site_label
_atom_site_type_symbol
_atom_site_fract_x
_atom_site_fract_y
_atom_site_fract_z
Li1 Li 0.000 0.216 0.000
Li2 Li 0.100 0.500 0.808
Li3 Li 0.207 0.116 0.634
Cd1 Cd 0.000 0.000 0.000
Hg1 Hg 0.000 0.312 0.500
```

Output
- Formation energy: -0.182 eV/atom
- Fermi-level density of states: 9.6 states/eV/cell

---

6.
A plane-wave DFT calculation with GGA-PBE was carried out for an optimized crystal structure of Lu2PuZn.

```
data_Lu2PuZn
_chemical_formula_sum 'Lu2 Pu1 Zn1'
_space_group_name_H-M_alt 'P 4/m m m'
_space_group_IT_number 123
_space_group_name_Hall '-P 4 2'
_cell_length_a 3.395
_cell_length_b 3.395
_cell_length_c 8.626
_cell_angle_alpha 90.00
_cell_angle_beta 90.00
_cell_angle_gamma 90.00
loop_
_atom_site_label
_atom_site_type_symbol
_atom_site_fract_x
_atom_site_fract_y
_atom_site_fract_z
Lu1 Lu 0.000 0.000 0.213
Pu1 Pu 0.500 0.500 0.500
Zn1 Zn 0.500 0.500 0.000
```

Output
- Formation energy: -0.090 eV/atom
- Fermi-level density of states: 9.4 states/eV/cell

---

7.
A plane-wave DFT calculation with GGA-PBE was carried out for an optimized crystal structure of Na2MgSbO4.

```
data_Na2MgSbO4
_chemical_formula_sum 'Na4 Mg2 Sb2 O8'
_space_group_name_H-M_alt 'I -4'
_space_group_IT_number 82
_cell_length_a 5.307
_cell_length_b 5.307
_cell_length_c 8.887
_cell_angle_alpha 90.00
_cell_angle_beta 90.00
_cell_angle_gamma 90.00
loop_
_space_group_symop_operation_xyz
'x,y,z'
'y,-x,-z'
'-x,-y,z'
'-y,x,-z'
'x+1/2,y+1/2,z+1/2'
'y+1/2,-x+1/2,-z+1/2'
'-x+1/2,-y+1/2,z+1/2'
'-y+1/2,x+1/2,-z+1/2'
loop_
_atom_site_label
_atom_site_type_symbol
_atom_site_fract_x
_atom_site_fract_y
_atom_site_fract_z
Na1 Na 0.000 0.000 0.000
Na2 Na 0.000 0.500 0.250
Mg1 Mg 0.000 0.000 0.500
Sb1 Sb 0.000 0.500 0.750
O1 O 0.190 0.748 0.624
```

Output
- Fermi-level density of states: 5.2 states/eV/cell
- Raw formation energy: -13.77 eV/f.u.

---

8.
A plane-wave DFT calculation with GGA-PBE was carried out for an optimized crystal structure of In2AsPd8.

```
data_In2AsPd8
_chemical_formula_sum 'In4 As2 Pd16'
_space_group_name_H-M_alt 'C 1 2/m 1'
_space_group_IT_number 12
_cell_length_a 14.947
_cell_length_b 4.599
_cell_length_c 5.798
_cell_angle_alpha 90.00
_cell_angle_beta 112.64
_cell_angle_gamma 90.00
loop_
_space_group_symop_operation_xyz
'x,y,z'
'-x,-y,-z'
'-x,y,-z'
'x,-y,z'
'x+1/2,y+1/2,z'
'-x+1/2,-y+1/2,-z'
'-x+1/2,y+1/2,-z'
'x+1/2,-y+1/2,z'
loop_
_atom_site_label
_atom_site_type_symbol
_atom_site_fract_x
_atom_site_fract_y
_atom_site_fract_z
In1 In 0.184 0.000 0.183
As1 As 0.000 0.500 0.500
Pd1 Pd 0.000 0.000 0.252
Pd2 Pd 0.137 0.500 0.895
Pd3 Pd 0.138 0.500 0.380
Pd4 Pd 0.184 0.000 0.684
```

Output
- Formation energy: -0.408 eV/atom
- Fermi-level density of states: 11.8 states/eV/cell

---

9.
A plane-wave DFT calculation with GGA-PBE was carried out for an optimized crystal structure of TmLuPuAl.

```
data_TmLuPuAl
_chemical_formula_sum 'Tm4 Lu4 Pu4 Al4'
_space_group_name_H-M_alt 'F -4 3 m'
_space_group_IT_number 216
_space_group_name_Hall 'F -4 2 3'
_cell_length_a 7.400
_cell_length_b 7.400
_cell_length_c 7.400
_cell_angle_alpha 90.00
_cell_angle_beta 90.00
_cell_angle_gamma 90.00
loop_
_atom_site_label
_atom_site_type_symbol
_atom_site_fract_x
_atom_site_fract_y
_atom_site_fract_z
Tm1 Tm 0.000 0.000 0.000
Lu1 Lu 0.250 0.250 0.750
Pu1 Pu 0.250 0.250 0.250
Al1 Al 0.000 0.000 0.500
```

Output
- Formation energy: 0.007 eV/atom
- Fermi-level density of states: 29.0 states/eV/cell

---

10.
A plane-wave DFT calculation with GGA-PBE was carried out for an optimized crystal structure of NdY12Er3.

```
data_NdY12Er3
_chemical_formula_sum 'Nd1 Y12 Er3'
_space_group_name_H-M_alt 'P 4/m m m'
_space_group_IT_number 123
_space_group_name_Hall '-P 4 2'
_cell_length_a 5.043
_cell_length_b 5.043
_cell_length_c 20.182
_cell_angle_alpha 90.00
_cell_angle_beta 90.00
_cell_angle_gamma 90.00
loop_
_atom_site_label
_atom_site_type_symbol
_atom_site_fract_x
_atom_site_fract_y
_atom_site_fract_z
Nd1 Nd 0.000 0.000 0.000
Y1 Y 0.000 0.500 0.127
Y2 Y 0.000 0.500 0.376
Y3 Y 0.500 0.500 0.000
Y4 Y 0.500 0.500 0.252
Y5 Y 0.500 0.500 0.500
Er1 Er 0.000 0.000 0.251
Er2 Er 0.000 0.000 0.500
```

Output
- Formation energy: 0.025 eV/atom
- Fermi-level density of states: 22.5 states/eV/cell

---

11.
A plane-wave DFT calculation with GGA-PBE was carried out for an optimized crystal structure of TeBrF.

```
data_TeBrF
_chemical_formula_sum 'Te2 Br2 F2'
_space_group_name_H-M_alt 'P 1'
_space_group_IT_number 1
_cell_length_a 4.154
_cell_length_b 6.645
_cell_length_c 7.701
_cell_angle_alpha 97.74
_cell_angle_beta 102.61
_cell_angle_gamma 105.61
loop_
_space_group_symop_operation_xyz
'x,y,z'
loop_
_atom_site_label
_atom_site_type_symbol
_atom_site_fract_x
_atom_site_fract_y
_atom_site_fract_z
Te1 Te 0.000 0.000 0.000
Te2 Te 0.422 0.795 0.200
Br1 Br 0.412 0.186 0.382
Br2 Br 0.711 0.729 0.700
F1 F 0.028 0.644 0.290
F2 F 0.284 0.533 0.014
```

Output
- Raw formation energy: -2.83 eV/f.u.

---

12.
A plane-wave DFT calculation with GGA-PBE was carried out for an optimized crystal structure of Li4PrAg4.

```
data_Li4PrAg4
_chemical_formula_sum 'Li8 Pr2 Ag8'
_space_group_name_H-M_alt 'P 42/n m c'
_space_group_IT_number 137
_cell_length_a 6.310
_cell_length_b 6.310
_cell_length_c 8.854
_cell_angle_alpha 90.00
_cell_angle_beta 90.00
_cell_angle_gamma 90.00
loop_
_space_group_symop_operation_xyz
'x,y,z'
'-x,-y,-z'
'-y+1/2,x,z+1/2'
'y+1/2,-x,-z+1/2'
'-x+1/2,-y+1/2,z'
'x+1/2,y+1/2,-z'
'y,-x+1/2,z+1/2'
'-y,x+1/2,-z+1/2'
'x+1/2,-y,-z'
'-x+1/2,y,z'
'-y,-x,-z+1/2'
'y,x,z+1/2'
'-x,y+1/2,-z'
'x,-y+1/2,z'
'y+1/2,x+1/2,-z+1/2'
'-y+1/2,-x+1/2,z+1/2'
loop_
_atom_site_label
_atom_site_type_symbol
_atom_site_fract_x
_atom_site_fract_y
_atom_site_fract_z
Li1 Li 0.020 0.250 0.150
Pr1 Pr 0.250 0.750 0.250
Ag1 Ag 0.032 0.250 0.448
```

Output
- Formation energy: -0.108 eV/atom
- Fermi-level density of states: 8.4 states/eV/cell

---

13.
A plane-wave DFT calculation with GGA-PBE was carried out for an optimized crystal structure of LiCdTc2C.

```
data_LiCdTc2C
_chemical_formula_sum 'Li1 Cd1 Tc2 C1'
_space_group_name_H-M_alt 'P 4/m m m'
_space_group_IT_number 123
_space_group_name_Hall '-P 4 2'
_cell_length_a 4.289
_cell_length_b 4.289
_cell_length_c 4.311
_cell_angle_alpha 90.00
_cell_angle_beta 90.00
_cell_angle_gamma 90.00
loop_
_atom_site_label
_atom_site_type_symbol
_atom_site_fract_x
_atom_site_fract_y
_atom_site_fract_z
Li1 Li 0.000 0.000 0.000
Cd1 Cd 0.000 0.000 0.500
Tc1 Tc 0.000 0.500 0.000
C1 C 0.500 0.500 0.500
```

Output
- Formation energy: 2.337 eV/atom
- Fermi-level density of states: 3.2 states/eV/cell

---

14.
A plane-wave DFT calculation with GGA-PBE was carried out for an optimized crystal structure of AcInPdPb.

```
data_AcInPdPb
_chemical_formula_sum 'Ac4 In4 Pd4 Pb4'
_space_group_name_H-M_alt 'F -4 3 m'
_space_group_IT_number 216
_space_group_name_Hall 'F -4 2 3'
_cell_length_a 7.568
_cell_length_b 7.568
_cell_length_c 7.568
_cell_angle_alpha 90.00
_cell_angle_beta 90.00
_cell_angle_gamma 90.00
loop_
_atom_site_label
_atom_site_type_symbol
_atom_site_fract_x
_atom_site_fract_y
_atom_site_fract_z
Ac1 Ac 0.000 0.000 0.000
In1 In 0.250 0.250 0.250
Pd1 Pd 0.250 0.250 0.750
Pb1 Pb 0.000 0.000 0.500
```

Output
- Formation energy: -0.396 eV/atom
- Fermi-level density of states: 3.8 states/eV/cell

---

15.
A plane-wave DFT calculation with GGA-PBE was carried out for an optimized crystal structure of RbBe3Ag.

```
data_RbBe3Ag
_chemical_formula_sum 'Rb1 Be3 Ag1'
_space_group_name_H-M_alt 'P m -3 m'
_space_group_IT_number 221
_space_group_name_Hall '-P 4 2 3'
_cell_length_a 6.135
_cell_length_b 6.135
_cell_length_c 6.135
_cell_angle_alpha 90.00
_cell_angle_beta 90.00
_cell_angle_gamma 90.00
loop_
_atom_site_label
_atom_site_type_symbol
_atom_site_fract_x
_atom_site_fract_y
_atom_site_fract_z
Rb1 Rb 0.000 0.000 0.000
Be1 Be 0.000 0.000 0.500
Ag1 Ag 0.500 0.500 0.500
```

Output
- Formation energy: 2.389 eV/atom
- Fermi-level density of states: 1.5 states/eV/cell

---

16.
A plane-wave DFT calculation with GGA-PBE was carried out for an optimized crystal structure of Pr4Dy5Sc2.

```
data_Pr4Dy5Sc2
_chemical_formula_sum 'Pr8 Dy10 Sc4'
_space_group_name_H-M_alt 'C 1 2/m 1'
_space_group_IT_number 12
_cell_length_a 18.141
_cell_length_b 5.033
_cell_length_c 7.934
_cell_angle_alpha 90.00
_cell_angle_beta 105.19
_cell_angle_gamma 90.00
loop_
_space_group_symop_operation_xyz
'x,y,z'
'-x,-y,-z'
'-x,y,-z'
'x,-y,z'
'x+1/2,y+1/2,z'
'-x+1/2,-y+1/2,-z'
'-x+1/2,y+1/2,-z'
'x+1/2,-y+1/2,z'
loop_
_atom_site_label
_atom_site_type_symbol
_atom_site_fract_x
_atom_site_fract_y
_atom_site_fract_z
Pr1 Pr 0.044 0.000 0.222
Pr2 Pr 0.182 0.500 0.405
Dy1 Dy 0.000 0.500 0.500
Dy2 Dy 0.135 0.000 0.688
Dy3 Dy 0.227 0.000 0.129
Sc1 Sc 0.090 0.500 0.952
```

Output
- Formation energy: 0.044 eV/atom
- Fermi-level density of states: 32.5 states/eV/cell

---

17.
A plane-wave DFT calculation with GGA-PBE was carried out for an optimized crystal structure of CaSm2NpO8.

```
data_CaSm2NpO8
_chemical_formula_sum 'Ca1 Sm2 Np1 O8'
_space_group_name_H-M_alt 'P 1 2/m 1'
_space_group_IT_number 10
_cell_length_a 4.024
_cell_length_b 7.679
_cell_length_c 5.340
_cell_angle_alpha 90.00
_cell_angle_beta 94.23
_cell_angle_gamma 90.00
loop_
_space_group_symop_operation_xyz
'x,y,z'
'-x,-y,-z'
'-x,y,-z'
'x,-y,z'
loop_
_atom_site_label
_atom_site_type_symbol
_atom_site_fract_x
_atom_site_fract_y
_atom_site_fract_z
Ca1 Ca 0.000 0.000 0.000
Sm1 Sm 0.500 0.253 0.500
Np1 Np 0.000 0.500 0.000
O1 O 0.030 0.290 0.763
O2 O 0.454 0.500 0.224
O3 O 0.500 0.000 0.258
```

Output
- Fermi-level density of states: 6.6 states/eV/cell
- Raw formation energy: -34.38 eV/f.u.

---

18.
A plane-wave DFT calculation with GGA-PBE was carried out for an optimized crystal structure of Pr3Sm5Er4.

```
data_Pr3Sm5Er4
_chemical_formula_sum 'Pr6 Sm10 Er8'
_space_group_name_H-M_alt 'C 1 2/m 1'
_space_group_IT_number 12
_cell_length_a 16.200
_cell_length_b 5.995
_cell_length_c 9.330
_cell_angle_alpha 90.00
_cell_angle_beta 116.11
_cell_angle_gamma 90.00
loop_
_space_group_symop_operation_xyz
'x,y,z'
'-x,-y,-z'
'-x,y,-z'
'x,-y,z'
'x+1/2,y+1/2,z'
'-x+1/2,-y+1/2,-z'
'-x+1/2,y+1/2,-z'
'x+1/2,-y+1/2,z'
loop_
_atom_site_label
_atom_site_type_symbol
_atom_site_fract_x
_atom_site_fract_y
_atom_site_fract_z
Pr1 Pr 0.000 0.000 0.000
Pr2 Pr 0.208 0.500 0.228
Sm1 Sm 0.000 0.500 0.000
Sm2 Sm 0.075 0.000 0.698
Sm3 Sm 0.173 0.000 0.387
Er1 Er 0.082 0.500 0.442
Er2 Er 0.210 0.500 0.875
```

Output
- Formation energy: 0.228 eV/atom
- Fermi-level density of states: 38.8 states/eV/cell

---

19.
A plane-wave DFT calculation with GGA-PBE was carried out for an optimized crystal structure of AgSbRh2.

```
data_AgSbRh2
_chemical_formula_sum 'Ag1 Sb1 Rh2'
_space_group_name_H-M_alt 'P 4/m m m'
_space_group_IT_number 123
_space_group_name_Hall '-P 4 2'
_cell_length_a 4.260
_cell_length_b 4.260
_cell_length_c 3.639
_cell_angle_alpha 90.00
_cell_angle_beta 90.00
_cell_angle_gamma 90.00
loop_
_atom_site_label
_atom_site_type_symbol
_atom_site_fract_x
_atom_site_fract_y
_atom_site_fract_z
Ag1 Ag 0.000 0.000 0.000
Sb1 Sb 0.500 0.500 0.000
Rh1 Rh 0.000 0.500 0.500
```

Output
- Fermi-level density of states: 1.9 states/eV/cell
- Raw formation energy: -0.42 eV/f.u.

---

20.
A plane-wave DFT calculation with GGA-PBE was carried out for an optimized crystal structure of Li2ZnCr.

```
data_Li2ZnCr
_chemical_formula_sum 'Li4 Zn2 Cr2'
_space_group_name_H-M_alt 'C 1 2/m 1'
_space_group_IT_number 12
_cell_length_a 10.157
_cell_length_b 3.088
_cell_length_c 4.411
_cell_angle_alpha 90.00
_cell_angle_beta 115.47
_cell_angle_gamma 90.00
loop_
_space_group_symop_operation_xyz
'x,y,z'
'-x,-y,-z'
'-x,y,-z'
'x,-y,z'
'x+1/2,y+1/2,z'
'-x+1/2,-y+1/2,-z'
'-x+1/2,y+1/2,-z'
'x+1/2,-y+1/2,z'
loop_
_atom_site_label
_atom_site_type_symbol
_atom_site_fract_x
_atom_site_fract_y
_atom_site_fract_z
Li1 Li 0.237 0.000 0.237
Zn1 Zn 0.000 0.500 0.000
Cr1 Cr 0.000 0.000 0.500
```

Output
- Formation energy: 0.192 eV/atom
- Fermi-level density of states: 4.6 states/eV/cell